Below is a relaxed Nd7Al2Sn2 crystal, with properties calculated at the PBE level.

* final energy: -101.78 eV for the cell shown
* total moment: 0.00 μB/cell
* crystal system: orthorhombic

Structure (CIF):
```
data_Nd7Al2Sn2
_cell_length_a 8.0838
_cell_length_b 11.3523
_cell_length_c 7.8447
_cell_angle_alpha 90.00
_cell_angle_beta 90.00
_cell_angle_gamma 90.00
_space_group_name_H-M_alt 'C m m m'
_space_group_IT_number 65
_space_group_name_Hall '-C 2 2'
loop_
_atom_site_label
_atom_site_type_symbol
_atom_site_fract_x
_atom_site_fract_y
_atom_site_fract_z
Nd1 Nd 0.0000 0.0000 0.0000
Nd2 Nd 0.0000 0.5000 0.2761
Nd3 Nd 0.2500 0.2500 0.2953
Al1 Al 0.1634 0.0000 0.5000
Sn1 Sn 0.0000 0.2931 0.0000
```


Below is a relaxed SmDyTm crystal, with properties calculated at the PBE level.

* total moment: 0.00 μB/cell
* energy above the most stable polymorph in this dataset: 2.7 kJ/mol of atoms
* crystal system: trigonal

Structure (CIF):
```
data_SmDyTm
_cell_length_a 3.5546
_cell_length_b 3.5546
_cell_length_c 8.6754
_cell_angle_alpha 90.00
_cell_angle_beta 90.00
_cell_angle_gamma 120.00
_space_group_name_H-M_alt 'P 3 m 1'
_space_group_IT_number 156
_space_group_name_Hall 'P 3 -2"'
loop_
_atom_site_label
_atom_site_type_symbol
_atom_site_fract_x
_atom_site_fract_y
_atom_site_fract_z
Sm1 Sm 0.0000 0.0000 0.0000
Dy1 Dy 0.6667 0.3333 0.3393
Tm1 Tm 0.3333 0.6667 0.6664
```


Below is a relaxed Ba2AlZn3Sn4 crystal, with properties calculated at the PBE level.

* final energy: -31.29 eV for the cell shown
* total moment: 0.00 μB/cell
* crystal system: tetragonal

Structure (CIF):
```
data_Ba2AlZn3Sn4
_cell_length_a 4.8290
_cell_length_b 4.8290
_cell_length_c 11.4060
_cell_angle_alpha 90.00
_cell_angle_beta 90.00
_cell_angle_gamma 90.00
_space_group_name_H-M_alt 'P -4 m 2'
_space_group_IT_number 115
_space_group_name_Hall 'P -4 -2'
loop_
_atom_site_label
_atom_site_type_symbol
_atom_site_fract_x
_atom_site_fract_y
_atom_site_fract_z
Ba1 Ba 0.0000 0.5000 0.2467
Al1 Al 0.5000 0.5000 0.0000
Zn1 Zn 0.0000 0.0000 0.0000
Zn2 Zn 0.0000 0.5000 0.6329
Sn1 Sn 0.0000 0.0000 0.5000
Sn2 Sn 0.0000 0.5000 0.8709
Sn3 Sn 0.5000 0.5000 0.5000
```


Below is a relaxed Ta3FePt crystal, with properties calculated at the PBE level.

* total moment: 0.00 μB/cell
* energy above the most stable polymorph in this dataset: 0.0 kJ/mol of atoms
* crystal system: cubic

Structure (CIF):
```
data_Ta3FePt
_cell_length_a 4.5201
_cell_length_b 4.5201
_cell_length_c 4.5201
_cell_angle_alpha 90.00
_cell_angle_beta 90.00
_cell_angle_gamma 90.00
_space_group_name_H-M_alt 'P m -3 m'
_space_group_IT_number 221
_space_group_name_Hall '-P 4 2 3'
loop_
_atom_site_label
_atom_site_type_symbol
_atom_site_fract_x
_atom_site_fract_y
_atom_site_fract_z
Ta1 Ta 0.0000 0.0000 0.5000
Fe1 Fe 0.0000 0.0000 0.0000
Pt1 Pt 0.5000 0.5000 0.5000
```